(1)
VASP calculation (PBE) on a geometry-optimized LiZr2Au structure.

As for the formation energy from the elements: 28 meV per atom.

Cell lengths 3.0651, 3.0651, 31.0051 Å; angles 90.00, 90.00, 120.00 degrees
Space group R-3m (No. 166, hexagonal axes)
Symmetry-distinct sites (fractional):
Li (0.0000, 0.0000, 0.0000)
Zr (0.0000, 0.0000, 0.2447)
Au (0.0000, 0.0000, 0.5000)



(2)
VASP calculation (PBE) on a geometry-optimized Rb2CdAg structure.

As for the formation energy from the elements: 168 meV per atom.

Cell lengths 9.910, 9.910, 7.540 Å; angles 90.00, 90.00, 90.00 degrees
Space group I-42d (No. 122)
Symmetry-distinct sites (fractional):
Rb (0.225, 0.250, 0.125)
Cd (0.000, 0.000, 0.500)
Ag (0.000, 0.000, 0.000)



(3)
VASP calculation (PBE) on a geometry-optimized Li2NdHoS4 structure.

The total energy comes out at -5.520 eV per atom.

Cell lengths 6.604, 3.979, 6.895 Å; angles 90.00, 110.35, 90.00 degrees
Space group P2/m (No. 10)
Symmetry-distinct sites (fractional):
Li (0.000, 0.000, 0.000)
Li (0.000, 0.500, 0.500)
Nd (0.500, 0.000, 0.500)
Ho (0.500, 0.500, 0.000)
S (0.245, 0.500, 0.239)
S (0.249, 0.000, 0.758)



Calculated values (μB per cell) of magnetic moment for the records, taken in order: 0.004 0.000 0.000.